(1)
# LiLa2As GGA-PBEsol relaxed
data_LiLa2As
_symmetry_space_group_name_H-M 'P 1'
_symmetry_Int_Tables_number 1
_cell_length_a 4.2054
_cell_length_b 6.0459
_cell_length_c 6.0459
_cell_angle_alpha 41.68
_cell_angle_beta 90.00
_cell_angle_gamma 90.00
loop_
_symmetry_equiv_pos_as_xyz
'x,y,z'
loop_
_atom_site_label
_atom_site_type_symbol
_atom_site_fract_x
_atom_site_fract_y
_atom_site_fract_z
_atom_site_occupancy
Li1 Li 0.0000 0.0000 0.0000 1
La1 La 0.0000 0.3001 0.3001 1
La2 La 0.5000 0.5924 0.5924 1
As1 As 0.5000 0.8719 0.8719 1
# ΔE_f   -0.7161 eV per atom
# Crystal system   orthorhombic
# Total energy   -0.3791 Ry/atom

---

(2)
# PRhSeBr2 GGA-PBEsol relaxed
data_PRhSeBr2
_symmetry_space_group_name_H-M 'P 1'
_symmetry_Int_Tables_number 1
_cell_length_a 4.8561
_cell_length_b 4.8561
_cell_length_c 4.8571
_cell_angle_alpha 90.00
_cell_angle_beta 90.00
_cell_angle_gamma 90.00
loop_
_symmetry_equiv_pos_as_xyz
'x,y,z'
loop_
_atom_site_label
_atom_site_type_symbol
_atom_site_fract_x
_atom_site_fract_y
_atom_site_fract_z
_atom_site_occupancy
P1 P 0.0000 0.0000 0.0000 1
Rh1 Rh 0.5000 0.5000 0.5000 1
Se1 Se 0.0000 0.0000 0.5000 1
Br1 Br 0.0000 0.5000 0.0000 1
Br2 Br 0.5000 0.0000 0.0000 1
# Crystal system   tetragonal
# Total energy   -0.2522 Ry/atom
# Distance to the lowest polymorph of the same formula   0.272 eV/atom

---

(3)
# BaTl5 GGA-PBEsol relaxed
data_BaTl5
_symmetry_space_group_name_H-M 'P 1'
_symmetry_Int_Tables_number 1
_cell_length_a 6.2676
_cell_length_b 6.2676
_cell_length_c 5.3902
_cell_angle_alpha 90.00
_cell_angle_beta 90.00
_cell_angle_gamma 120.00
loop_
_symmetry_equiv_pos_as_xyz
'x,y,z'
loop_
_atom_site_label
_atom_site_type_symbol
_atom_site_fract_x
_atom_site_fract_y
_atom_site_fract_z
_atom_site_occupancy
Ba1 Ba 0.0000 0.0000 0.0000 1
Tl1 Tl 0.0000 0.3775 0.5000 1
Tl2 Tl 0.3333 0.6667 0.0000 1
Tl3 Tl 0.3775 0.0000 0.5000 1
Tl4 Tl 0.6225 0.6225 0.5000 1
Tl5 Tl 0.6667 0.3333 0.0000 1
# ΔE_f   -0.1909 eV per atom
# Crystal system   hexagonal
# Total energy   -0.2014 Ry/atom
# Distance to the lowest polymorph of the same formula   0.008 eV/atom

---

(4)
# MnOF GGA-PBEsol relaxed
data_MnOF
_symmetry_space_group_name_H-M 'P 1'
_symmetry_Int_Tables_number 1
_cell_length_a 3.1738
_cell_length_b 3.1738
_cell_length_c 4.9150
_cell_angle_alpha 113.80
_cell_angle_beta 113.80
_cell_angle_gamma 54.43
loop_
_symmetry_equiv_pos_as_xyz
'x,y,z'
loop_
_atom_site_label
_atom_site_type_symbol
_atom_site_fract_x
_atom_site_fract_y
_atom_site_fract_z
_atom_site_occupancy
Mn1 Mn 0.0000 0.0000 0.0000 1
O1 O 0.2670 0.2670 0.8364 1
F1 F 0.7352 0.7352 0.2688 1
# Crystal system   monoclinic
# Total energy   -0.5459 Ry/atom

---

(5)
# Sc3Cu4 GGA-PBEsol relaxed
data_Sc3Cu4
_symmetry_space_group_name_H-M 'P 1'
_symmetry_Int_Tables_number 1
_cell_length_a 10.8215
_cell_length_b 10.8215
_cell_length_c 10.8215
_cell_angle_alpha 162.77
_cell_angle_beta 162.77
_cell_angle_gamma 24.47
loop_
_symmetry_equiv_pos_as_xyz
'x,y,z'
loop_
_atom_site_label
_atom_site_type_symbol
_atom_site_fract_x
_atom_site_fract_y
_atom_site_fract_z
_atom_site_occupancy
Sc1 Sc 0.0000 0.0000 0.0000 1
Sc2 Sc 0.3033 0.3033 0.0000 1
Sc3 Sc 0.6967 0.6967 0.0000 1
Cu1 Cu 0.1269 0.1269 0.0000 1
Cu2 Cu 0.4310 0.4310 0.0000 1
Cu3 Cu 0.5690 0.5690 0.0000 1
Cu4 Cu 0.8731 0.8731 0.0000 1
# ΔE_f   -0.1809 eV per atom
# Crystal system   tetragonal
# Total energy   -0.4034 Ry/atom

---

(6)
# Sn2TePb2 GGA-PBEsol relaxed
data_Sn2TePb2
_symmetry_space_group_name_H-M 'P 1'
_symmetry_Int_Tables_number 1
_cell_length_a 8.4088
_cell_length_b 8.4088
_cell_length_c 8.4088
_cell_angle_alpha 149.72
_cell_angle_beta 149.72
_cell_angle_gamma 43.35
loop_
_symmetry_equiv_pos_as_xyz
'x,y,z'
loop_
_atom_site_label
_atom_site_type_symbol
_atom_site_fract_x
_atom_site_fract_y
_atom_site_fract_z
_atom_site_occupancy
Sn1 Sn 0.0931 0.0931 0.0000 1
Sn2 Sn 0.9069 0.9069 0.0000 1
Te1 Te 0.5000 0.5000 0.0000 1
Pb1 Pb 0.2500 0.7500 0.5000 1
Pb2 Pb 0.7500 0.2500 0.5000 1
# Crystal system   tetragonal
# Total energy   -0.2865 Ry/atom

---

(7)
# SbP4O12 GGA-PBEsol relaxed
data_SbP4O12
_symmetry_space_group_name_H-M 'P 1'
_symmetry_Int_Tables_number 1
_cell_length_a 7.1297
_cell_length_b 12.7936
_cell_length_c 11.5637
_cell_angle_alpha 90.00
_cell_angle_beta 126.39
_cell_angle_gamma 90.00
loop_
_symmetry_equiv_pos_as_xyz
'x,y,z'
loop_
_atom_site_label
_atom_site_type_symbol
_atom_site_fract_x
_atom_site_fract_y
_atom_site_fract_z
_atom_site_occupancy
Sb1 Sb 0.0443 0.2189 0.0236 1
Sb2 Sb 0.0443 0.2811 0.5236 1
Sb3 Sb 0.9557 0.7189 0.4764 1
Sb4 Sb 0.9557 0.7811 0.9764 1
P1 P 0.0577 0.0951 0.2919 1
P2 P 0.0577 0.4049 0.7919 1
P3 P 0.1531 0.6292 0.8016 1
P4 P 0.1531 0.8708 0.3016 1
P5 P 0.3923 0.6143 0.2667 1
P6 P 0.3923 0.8857 0.7667 1
P7 P 0.4928 0.6101 0.7421 1
P8 P 0.4928 0.8899 0.2421 1
P9 P 0.5072 0.1101 0.7579 1
P10 P 0.5072 0.3899 0.2579 1
P11 P 0.6077 0.1143 0.2333 1
P12 P 0.6077 0.3857 0.7333 1
P13 P 0.8469 0.1292 0.6984 1
P14 P 0.8469 0.3708 0.1984 1
P15 P 0.9423 0.5951 0.2081 1
P16 P 0.9423 0.9049 0.7081 1
O1 O 0.0208 0.1238 0.8598 1
O2 O 0.0208 0.3762 0.3598 1
O3 O 0.1318 0.1084 0.1941 1
O4 O 0.1318 0.3916 0.6941 1
O5 O 0.1422 0.7164 0.8828 1
O6 O 0.1422 0.7836 0.3828 1
O7 O 0.1453 0.5193 0.8647 1
O8 O 0.1453 0.9807 0.3647 1
O9 O 0.1474 0.1692 0.4140 1
O10 O 0.1474 0.3308 0.9140 1
O11 O 0.2196 0.5820 0.3066 1
O12 O 0.2196 0.9180 0.8066 1
O13 O 0.2736 0.6899 0.1436 1
O14 O 0.2736 0.8101 0.6436 1
O15 O 0.2905 0.1745 0.7015 1
O16 O 0.2905 0.3255 0.2015 1
O17 O 0.2962 0.6144 0.5846 1
O18 O 0.2962 0.8856 0.0846 1
O19 O 0.3845 0.1504 0.0982 1
O20 O 0.3845 0.3496 0.5982 1
O21 O 0.4096 0.6327 0.8415 1
O22 O 0.4096 0.8673 0.3415 1
O23 O 0.4201 0.5080 0.2078 1
O24 O 0.4201 0.9920 0.7078 1
O25 O 0.5799 0.0080 0.2922 1
O26 O 0.5799 0.4920 0.7922 1
O27 O 0.5904 0.1327 0.6585 1
O28 O 0.5904 0.3673 0.1585 1
O29 O 0.6155 0.6504 0.4018 1
O30 O 0.6155 0.8496 0.9018 1
O31 O 0.7038 0.1144 0.9154 1
O32 O 0.7038 0.3856 0.4154 1
O33 O 0.7095 0.6745 0.7985 1
O34 O 0.7095 0.8255 0.2985 1
O35 O 0.7264 0.1899 0.3564 1
O36 O 0.7264 0.3101 0.8564 1
O37 O 0.7804 0.0820 0.1934 1
O38 O 0.7804 0.4180 0.6934 1
O39 O 0.8526 0.6692 0.0860 1
O40 O 0.8526 0.8308 0.5860 1
O41 O 0.8547 0.0193 0.6353 1
O42 O 0.8547 0.4807 0.1353 1
O43 O 0.8578 0.2164 0.6172 1
O44 O 0.8578 0.2836 0.1172 1
O45 O 0.8682 0.6084 0.3059 1
O46 O 0.8682 0.8916 0.8059 1
O47 O 0.9792 0.6238 0.6402 1
O48 O 0.9792 0.8762 0.1402 1
# Crystal system   monoclinic
# Total energy   -0.5316 Ry/atom
# Distance to the lowest polymorph of the same formula   0.009 eV/atom

---

(8)
# BaMnAl2 GGA-PBEsol relaxed
data_BaMnAl2
_symmetry_space_group_name_H-M 'P 1'
_symmetry_Int_Tables_number 1
_cell_length_a 3.3202
_cell_length_b 3.3202
_cell_length_c 7.8730
_cell_angle_alpha 90.00
_cell_angle_beta 90.00
_cell_angle_gamma 90.00
loop_
_symmetry_equiv_pos_as_xyz
'x,y,z'
loop_
_atom_site_label
_atom_site_type_symbol
_atom_site_fract_x
_atom_site_fract_y
_atom_site_fract_z
_atom_site_occupancy
Ba1 Ba 0.0000 0.0000 0.0000 1
Mn1 Mn 0.5000 0.5000 0.3237 1
Al1 Al 0.0000 0.0000 0.4618 1
Al2 Al 0.5000 0.5000 0.6664 1
# ΔE_f   0.2591 eV per atom
# Crystal system   tetragonal
# Total energy   -0.3502 Ry/atom

---

(9)
# KMn4 GGA-PBEsol relaxed
data_KMn4
_symmetry_space_group_name_H-M 'P 1'
_symmetry_Int_Tables_number 1
_cell_length_a 5.1675
_cell_length_b 5.1675
_cell_length_c 5.1675
_cell_angle_alpha 109.47
_cell_angle_beta 109.47
_cell_angle_gamma 109.47
loop_
_symmetry_equiv_pos_as_xyz
'x,y,z'
loop_
_atom_site_label
_atom_site_type_symbol
_atom_site_fract_x
_atom_site_fract_y
_atom_site_fract_z
_atom_site_occupancy
K1 K 0.0000 0.0000 0.0000 1
Mn1 Mn 0.0000 0.0000 0.5000 1
Mn2 Mn 0.0000 0.5000 0.0000 1
Mn3 Mn 0.5000 0.0000 0.0000 1
Mn4 Mn 0.5000 0.5000 0.5000 1
# ΔE_f   2.4440 eV per atom
# Crystal system   cubic
# Total energy   -0.4110 Ry/atom

---

(10)
# BeReAs2 GGA-PBEsol relaxed
data_BeReAs2
_symmetry_space_group_name_H-M 'P 1'
_symmetry_Int_Tables_number 1
_cell_length_a 4.3422
_cell_length_b 4.3422
_cell_length_c 4.5846
_cell_angle_alpha 93.67
_cell_angle_beta 93.67
_cell_angle_gamma 41.30
loop_
_symmetry_equiv_pos_as_xyz
'x,y,z'
loop_
_atom_site_label
_atom_site_type_symbol
_atom_site_fract_x
_atom_site_fract_y
_atom_site_fract_z
_atom_site_occupancy
Be1 Be 0.0000 0.0000 0.0000 1
Re1 Re 0.5000 0.5000 0.5000 1
As1 As 0.2243 0.2243 0.7464 1
As2 As 0.7757 0.7757 0.2536 1
# ΔE_f   0.2587 eV per atom
# Crystal system   monoclinic
# Total energy   -0.4871 Ry/atom

---

(11)
# Li2AgF3 GGA-PBEsol relaxed
data_Li2AgF3
_symmetry_space_group_name_H-M 'P 1'
_symmetry_Int_Tables_number 1
_cell_length_a 5.2634
_cell_length_b 5.2634
_cell_length_c 5.2912
_cell_angle_alpha 90.00
_cell_angle_beta 90.00
_cell_angle_gamma 60.05
loop_
_symmetry_equiv_pos_as_xyz
'x,y,z'
loop_
_atom_site_label
_atom_site_type_symbol
_atom_site_fract_x
_atom_site_fract_y
_atom_site_fract_z
_atom_site_occupancy
Li1 Li 0.1667 0.1667 0.0000 1
Li2 Li 0.1667 0.1667 0.5000 1
Li3 Li 0.8333 0.8333 0.0000 1
Li4 Li 0.8333 0.8333 0.5000 1
Ag1 Ag 0.4993 0.5007 0.7500 1
Ag2 Ag 0.5007 0.4993 0.2500 1
F1 F 0.0775 0.5000 0.2500 1
F2 F 0.0771 0.9229 0.7500 1
F3 F 0.5000 0.0775 0.7500 1
F4 F 0.5000 0.9225 0.2500 1
F5 F 0.9229 0.0771 0.2500 1
F6 F 0.9225 0.5000 0.7500 1
# Crystal system   orthorhombic
# Total energy   -0.3222 Ry/atom
# Distance to the lowest polymorph of the same formula   0.057 eV/atom

---

(12)
# K2LaAu GGA-PBEsol relaxed
data_K2LaAu
_symmetry_space_group_name_H-M 'P 1'
_symmetry_Int_Tables_number 1
_cell_length_a 3.9059
_cell_length_b 3.9059
_cell_length_c 10.8218
_cell_angle_alpha 90.00
_cell_angle_beta 90.00
_cell_angle_gamma 90.00
loop_
_symmetry_equiv_pos_as_xyz
'x,y,z'
loop_
_atom_site_label
_atom_site_type_symbol
_atom_site_fract_x
_atom_site_fract_y
_atom_site_fract_z
_atom_site_occupancy
K1 K 0.0000 0.0000 0.0000 1
K2 K 0.5000 0.5000 0.3578 1
La1 La 0.0000 0.0000 0.6667 1
Au1 Au 0.5000 0.5000 0.7823 1
# ΔE_f   -0.1697 eV per atom
# Crystal system   tetragonal
# Total energy   -0.2245 Ry/atom
# Distance to the lowest polymorph of the same formula   0.000 eV/atom

---

(13)
# Te3AsBr GGA-PBEsol relaxed
data_Te3AsBr
_symmetry_space_group_name_H-M 'P 1'
_symmetry_Int_Tables_number 1
_cell_length_a 5.4120
_cell_length_b 5.4120
_cell_length_c 5.4120
_cell_angle_alpha 90.00
_cell_angle_beta 90.00
_cell_angle_gamma 90.00
loop_
_symmetry_equiv_pos_as_xyz
'x,y,z'
loop_
_atom_site_label
_atom_site_type_symbol
_atom_site_fract_x
_atom_site_fract_y
_atom_site_fract_z
_atom_site_occupancy
Te1 Te 0.0000 0.0000 0.5000 1
Te2 Te 0.0000 0.5000 0.0000 1
Te3 Te 0.5000 0.0000 0.0000 1
As1 As 0.5000 0.5000 0.5000 1
Br1 Br 0.0000 0.0000 0.0000 1
# Crystal system   cubic
# Total energy   -0.1775 Ry/atom

---

(14)
# KAl2Ir GGA-PBEsol relaxed
data_KAl2Ir
_symmetry_space_group_name_H-M 'P 1'
_symmetry_Int_Tables_number 1
_cell_length_a 9.9199
_cell_length_b 9.9199
_cell_length_c 9.9199
_cell_angle_alpha 17.67
_cell_angle_beta 17.67
_cell_angle_gamma 17.67
loop_
_symmetry_equiv_pos_as_xyz
'x,y,z'
loop_
_atom_site_label
_atom_site_type_symbol
_atom_site_fract_x
_atom_site_fract_y
_atom_site_fract_z
_atom_site_occupancy
K1 K 0.0000 0.0000 0.0000 1
Al1 Al 0.2300 0.2300 0.2300 1
Al2 Al 0.7700 0.7700 0.7700 1
Ir1 Ir 0.5000 0.5000 0.5000 1
# ΔE_f   0.0661 eV per atom
# Crystal system   trigonal
# Total energy   -0.3468 Ry/atom
# Distance to the lowest polymorph of the same formula   0.148 eV/atom

---

(15)
# Sc2BeZnF GGA-PBEsol relaxed
data_Sc2BeZnF
_symmetry_space_group_name_H-M 'P 1'
_symmetry_Int_Tables_number 1
_cell_length_a 5.0216
_cell_length_b 5.0216
_cell_length_c 3.9409
_cell_angle_alpha 90.00
_cell_angle_beta 90.00
_cell_angle_gamma 90.00
loop_
_symmetry_equiv_pos_as_xyz
'x,y,z'
loop_
_atom_site_label
_atom_site_type_symbol
_atom_site_fract_x
_atom_site_fract_y
_atom_site_fract_z
_atom_site_occupancy
Sc1 Sc 0.0000 0.5000 0.0000 1
Sc2 Sc 0.5000 0.0000 0.0000 1
Be1 Be 0.0000 0.0000 0.5000 1
Zn1 Zn 0.0000 0.0000 0.0000 1
F1 F 0.5000 0.5000 0.5000 1
# Crystal system   tetragonal
# Total energy   -0.3078 Ry/atom

---

(16)
# K2CuPt GGA-PBEsol relaxed
data_K2CuPt
_symmetry_space_group_name_H-M 'P 1'
_symmetry_Int_Tables_number 1
_cell_length_a 4.5365
_cell_length_b 5.7508
_cell_length_c 5.7508
_cell_angle_alpha 51.67
_cell_angle_beta 90.00
_cell_angle_gamma 90.00
loop_
_symmetry_equiv_pos_as_xyz
'x,y,z'
loop_
_atom_site_label
_atom_site_type_symbol
_atom_site_fract_x
_atom_site_fract_y
_atom_site_fract_z
_atom_site_occupancy
K1 K 0.0000 0.0000 0.0000 1
K2 K 0.5000 0.3024 0.3024 1
Cu1 Cu 0.0000 0.6820 0.6820 1
Pt1 Pt 0.5000 0.6178 0.6178 1
# ΔE_f   0.2107 eV per atom
# Crystal system   orthorhombic
# Total energy   -0.2337 Ry/atom
# Distance to the lowest polymorph of the same formula   0.040 eV/atom

---

(17)
# LiMgZn2 GGA-PBEsol relaxed
data_LiMgZn2
_symmetry_space_group_name_H-M 'P 1'
_symmetry_Int_Tables_number 1
_cell_length_a 4.3994
_cell_length_b 4.3994
_cell_length_c 4.3994
_cell_angle_alpha 60.00
_cell_angle_beta 60.00
_cell_angle_gamma 60.00
loop_
_symmetry_equiv_pos_as_xyz
'x,y,z'
loop_
_atom_site_label
_atom_site_type_symbol
_atom_site_fract_x
_atom_site_fract_y
_atom_site_fract_z
_atom_site_occupancy
Li1 Li 0.0000 0.0000 0.0000 1
Mg1 Mg 0.7500 0.7500 0.7500 1
Zn1 Zn 0.2500 0.2500 0.2500 1
Zn2 Zn 0.5000 0.5000 0.5000 1
# ΔE_f   -0.1562 eV per atom
# Crystal system   cubic
# Total energy   -0.1373 Ry/atom

---

(18)
# CdSi2Hg GGA-PBEsol relaxed
data_CdSi2Hg
_symmetry_space_group_name_H-M 'P 1'
_symmetry_Int_Tables_number 1
_cell_length_a 2.8476
_cell_length_b 2.8476
_cell_length_c 10.0598
_cell_angle_alpha 90.00
_cell_angle_beta 90.00
_cell_angle_gamma 107.30
loop_
_symmetry_equiv_pos_as_xyz
'x,y,z'
loop_
_atom_site_label
_atom_site_type_symbol
_atom_site_fract_x
_atom_site_fract_y
_atom_site_fract_z
_atom_site_occupancy
Cd1 Cd 0.0000 0.0000 0.0000 1
Si1 Si 0.0000 0.0000 0.4385 1
Si2 Si 0.5000 0.5000 0.2583 1
Hg1 Hg 0.5000 0.5000 0.7098 1
# Crystal system   orthorhombic
# Total energy   -0.2177 Ry/atom

---

(19)
# GaHgAs2Se GGA-PBEsol relaxed
data_GaHgAs2Se
_symmetry_space_group_name_H-M 'P 1'
_symmetry_Int_Tables_number 1
_cell_length_a 4.9011
_cell_length_b 4.9011
_cell_length_c 4.9066
_cell_angle_alpha 90.00
_cell_angle_beta 90.00
_cell_angle_gamma 90.00
loop_
_symmetry_equiv_pos_as_xyz
'x,y,z'
loop_
_atom_site_label
_atom_site_type_symbol
_atom_site_fract_x
_atom_site_fract_y
_atom_site_fract_z
_atom_site_occupancy
Ga1 Ga 0.0000 0.0000 0.0000 1
Hg1 Hg 0.5000 0.5000 0.5000 1
As1 As 0.0000 0.5000 0.0000 1
As2 As 0.5000 0.0000 0.0000 1
Se1 Se 0.0000 0.0000 0.5000 1
# Crystal system   tetragonal
# Total energy   -0.2204 Ry/atom

---

(20)
# LiTlSeN2 GGA-PBEsol relaxed
data_LiTlSeN2
_symmetry_space_group_name_H-M 'P 1'
_symmetry_Int_Tables_number 1
_cell_length_a 4.3212
_cell_length_b 4.3212
_cell_length_c 5.6060
_cell_angle_alpha 90.00
_cell_angle_beta 90.00
_cell_angle_gamma 90.00
loop_
_symmetry_equiv_pos_as_xyz
'x,y,z'
loop_
_atom_site_label
_atom_site_type_symbol
_atom_site_fract_x
_atom_site_fract_y
_atom_site_fract_z
_atom_site_occupancy
Li1 Li 0.0000 0.0000 0.0000 1
Tl1 Tl 0.5000 0.5000 0.5000 1
Se1 Se 0.5000 0.5000 0.0000 1
N1 N 0.0000 0.5000 0.5000 1
N2 N 0.5000 0.0000 0.5000 1
# Crystal system   tetragonal
# Total energy   -0.2730 Ry/atom